# ReIr2PtRh

A relaxed ReIr2PtRh crystal (PBE, Alexandria).

```
ReIr2PtRh
1.0
-1.946 3.927 1.399
-0.757 -1.931 4.369
4.106 1.539 1.392
Re Ir Rh Pt
1 2 1 1
Direct
0.500 0.500 0.500
0.000 0.000 0.500
0.500 0.000 0.000
0.000 0.000 0.000
0.000 0.500 0.000
```

Results
D(E_F): 1.32 states/eV/atom
ΔE_f: 2.289 eV/atom

# NbInPb2O6

A relaxed NbInPb2O6 crystal (PBE, Alexandria).

```
NbInPb2O6
1.0
5.876 0.000 0.000
2.938 5.089 0.000
2.938 1.696 4.798
Nb In Pb O
1 1 2 6
Direct
0.000 0.000 0.000
0.500 0.500 0.500
0.750 0.750 0.750
0.250 0.250 0.250
0.241 0.759 0.759
0.759 0.241 0.241
0.759 0.759 0.241
0.241 0.241 0.759
0.759 0.241 0.759
0.241 0.759 0.241
```

Results
D(E_F): 0.00 states/eV/atom
energy above the lowest structure with this stoichiometry: 46 meV per atom
uncorrected formation energy: -1.696 eV/atom

| no. | E_tot (eV per atom) |
| --- | --- |
| 1 | -6.423 |
| 2 | -6.693 |